{"formula": "SrHoFe2O5", "functional": "PBE+U", "state": "relaxed", "e_tot_ev_per_atom": -7.00, "volume_a3_per_atom": 12.88, "lattice": [[3.9304, 0.0000, 0.0000], [0.0000, 3.9304, 0.0000], [0.0000, 0.0000, 7.5011]], "species": ["O", "O", "O", "O", "O", "Ho", "Sr", "Fe", "Fe"], "frac_coords": [[0.5000, 0.0000, 0.8123], [0.5000, 0.0000, 0.1877], [0.0000, 0.5000, 0.1877], [0.5000, 0.5000, 0.5000], [0.0000, 0.5000, 0.8123], [0.0000, 0.0000, 0.0000], [0.0000, 0.0000, 0.5000], [0.5000, 0.5000, 0.7685], [0.5000, 0.5000, 0.2315]]}